Entry P
Entry from the Alexandria database: a geometry-optimized Pr4AlIr structure (PBE-GGA).

abc: 9.9427 9.9427 9.9427
angles: 60.00 60.00 60.00
Last column: nearest neighbours and their distance in Å.
Positions (direct):
Pr1 0.1877 0.1877 0.8123  2 Al 3.51, 10 Pr 3.59-3.73, 2 Ir 3.59
Pr2 0.1877 0.8123 0.1877  2 Al 3.51, 10 Pr 3.59-3.73, 2 Ir 3.59
Pr3 0.1877 0.8123 0.8123  2 Al 3.51, 10 Pr 3.59-3.73, 2 Ir 3.59
Pr4 0.3997 0.3997 0.3997  3 Ir 2.95
Pr5 0.3997 0.3997 0.8010  3 Ir 2.95
Pr6 0.3997 0.8010 0.3997  3 Ir 2.95
Pr7 0.5538 0.5538 0.9462  2 Ir 2.91
Pr8 0.5538 0.9462 0.5538  2 Ir 2.91
Pr9 0.5538 0.9462 0.9462  2 Ir 2.91
Pr10 0.8010 0.3997 0.3997  3 Ir 2.95
Pr11 0.8123 0.1877 0.1877  2 Al 3.51, 10 Pr 3.59-3.73, 2 Ir 3.59
Pr12 0.8123 0.1877 0.8123  2 Al 3.51, 10 Pr 3.59-3.73, 2 Ir 3.59
Pr13 0.8123 0.8123 0.1877  2 Al 3.51, 10 Pr 3.59-3.73, 2 Ir 3.59
Pr14 0.9462 0.5538 0.5538  2 Ir 2.91
Pr15 0.9462 0.5538 0.9462  2 Ir 2.91
Pr16 0.9462 0.9462 0.5538  2 Ir 2.91
Al1 0.1762 0.1762 0.1762  3 Al 2.93
Al2 0.1762 0.1762 0.4713  3 Al 2.93
Al3 0.1762 0.4713 0.1762  3 Al 2.93
Al4 0.4713 0.1762 0.1762  3 Al 2.93
Ir1 0.1736 0.6088 0.6088  6 Pr 2.91-2.95
Ir2 0.6088 0.1736 0.6088  6 Pr 2.91-2.95
Ir3 0.6088 0.6088 0.1736  6 Pr 2.91-2.95
Ir4 0.6088 0.6088 0.6088  6 Pr 2.91-2.95

Entry Q
Entry from the Alexandria database: a geometry-optimized Pr4AlIr structure (PBE-GGA).

abc: 8.3837 8.3837 6.1667
angles: 103.41 103.41 114.72
Last column: nearest neighbours and their distance in Å.
Positions (direct):
Pr1 0.0628 0.7009 0.9212  2 Ir 3.13-3.14, 2 Al 3.24-3.30
Pr2 0.2175 0.3549 0.6727  2 Ir 2.94-2.98, 1 Al 3.27
Pr3 0.2991 0.9372 0.5788  2 Ir 3.13-3.14, 2 Al 3.24-3.30
Pr4 0.3549 0.2175 0.1727  2 Ir 2.94-2.98, 1 Al 3.27
Pr5 0.6451 0.7825 0.8273  2 Ir 2.94-2.98, 1 Al 3.27
Pr6 0.7009 0.0628 0.4212  2 Ir 3.13-3.14, 2 Al 3.24-3.30
Pr7 0.7825 0.6451 0.3273  2 Ir 2.94-2.98, 1 Al 3.27
Pr8 0.9372 0.2991 0.0788  2 Ir 3.13-3.14, 2 Al 3.24-3.30
Al1 0.3749 0.6251 0.2500  8 Pr 3.24-3.34
Al2 0.6251 0.3749 0.7500  8 Pr 3.24-3.34
Ir1 0.0007 0.9993 0.2500  8 Pr 2.94-3.14, 2 Ir 3.08
Ir2 0.9993 0.0007 0.7500  8 Pr 2.94-3.14, 2 Ir 3.08

Most stable: entry P (next structure +0.073 eV/atom)

Entry P
Entry from the Alexandria database: a geometry-optimized AlIrPt3 structure (PBE-GGA).

abc: 4.4739 4.4739 4.4739
angles: 90.00 90.00 90.00
Last column: nearest neighbours and their distance in Å.
Positions (direct):
Al1 0.0000 0.0000 0.0000  6 Pt 2.24
Ir1 0.5000 0.5000 0.5000  12 Pt 3.16
Pt1 0.0000 0.0000 0.5000  2 Al 2.24
Pt2 0.0000 0.5000 0.0000  2 Al 2.24
Pt3 0.5000 0.0000 0.0000  2 Al 2.24

Entry Q
Entry from the Alexandria database: a geometry-optimized AlIrPt3 structure (PBE-GGA).

abc: 4.8474 4.8474 4.8474
angles: 90.00 90.00 90.00
Last column: nearest neighbours and their distance in Å.
Positions (direct):
Al1 0.0000 0.0000 0.0000  12 Pt 3.43
Ir1 0.5000 0.5000 0.5000  6 Pt 2.42
Pt1 0.0000 0.5000 0.5000  2 Ir 2.42
Pt2 0.5000 0.0000 0.5000  2 Ir 2.42
Pt3 0.5000 0.5000 0.0000  2 Ir 2.42

Most stable: entry P (next structure +0.341 eV/atom)

Entry P
Entry from the Alexandria database: a geometry-optimized RbAl2Ir structure (PBE-GGA).

abc: 4.7988 4.7988 4.7988
angles: 60.00 60.00 60.00
Last column: nearest neighbours and their distance in Å.
Positions (direct):
Rb1 0.0000 0.0000 0.0000  8 Al 2.94
Al1 0.2500 0.2500 0.2500  4 Ir 2.94, 4 Rb 2.94
Al2 0.7500 0.7500 0.7500  4 Ir 2.94, 4 Rb 2.94
Ir1 0.5000 0.5000 0.5000  8 Al 2.94

Entry Q
Entry from the Alexandria database: a geometry-optimized RbAl2Ir structure (PBE-GGA).

abc: 8.1844 8.1844 8.1844
angles: 134.12 134.12 66.90
Last column: nearest neighbours and their distance in Å.
Positions (direct):
Rb1 0.3750 0.6250 0.7500  8 Al 3.95
Rb2 0.6250 0.3750 0.2500  8 Al 3.95
Al1 0.0000 0.0000 0.0000  2 Ir 2.34
Al2 0.0000 0.0000 0.5000  2 Ir 2.34
Al3 0.0000 0.5000 0.0000  2 Ir 2.34
Al4 0.5000 0.0000 0.5000  2 Ir 2.34
Ir1 0.1250 0.8750 0.2500  4 Al 2.34
Ir2 0.8750 0.1250 0.7500  4 Al 2.34

Most stable: entry Q (next structure +0.653 eV/atom)

Entry P
Entry from the Alexandria database: a geometry-optimized AlReIr structure (PBE-GGA).

abc: 4.2762 4.2762 2.7508
angles: 90.00 90.00 120.00
Last column: nearest neighbours and their distance in Å.
Positions (direct):
Al1 0.0000 0.0000 0.0000  3 Ir 2.47, 2 Al 2.75
Re1 0.6667 0.3333 0.5000  2 Re 2.75, 6 Al 2.83, 6 Ir 2.83
Ir1 0.3333 0.6667 0.0000  3 Al 2.47, 2 Ir 2.75

Entry Q
Entry from the Alexandria database: a geometry-optimized AlReIr structure (PBE-GGA).

abc: 2.7757 2.7757 6.5480
angles: 90.00 90.00 120.00
Last column: nearest neighbours and their distance in Å.
Positions (direct):
Al1 0.0000 0.0000 0.0000  3 Ir 2.66, 3 Re 2.74, 6 Al 2.78
Re1 0.3333 0.6667 0.6610  3 Ir 2.72, 3 Al 2.74, 6 Re 2.78
Ir1 0.6667 0.3333 0.3247  3 Al 2.66, 3 Re 2.72, 6 Ir 2.78

Most stable: entry Q (next structure +0.065 eV/atom)

Entry P
Entry from the Alexandria database: a geometry-optimized AlReIr structure (PBE-GGA).

abc: 4.1681 4.1681 4.1681
angles: 60.00 60.00 60.00
Last column: nearest neighbours and their distance in Å.
Positions (direct):
Al1 0.0000 0.0000 0.0000  4 Ir 2.55
Re1 0.5000 0.5000 0.5000  4 Ir 2.55
Ir1 0.7500 0.7500 0.7500  4 Re 2.55, 4 Al 2.55

Entry Q
Entry from the Alexandria database: a geometry-optimized AlReIr structure (PBE-GGA).

abc: 5.9812 5.9812 5.9812
angles: 153.11 153.11 38.39
Last column: nearest neighbours and their distance in Å.
Positions (direct):
Al1 0.0000 0.0000 0.0000  4 Ir 2.72, 4 Re 2.78, 4 Al 2.78
Re1 0.6735 0.6735 0.0000  4 Ir 2.67, 4 Al 2.78, 4 Re 2.78
Ir1 0.3339 0.3339 0.0000  4 Re 2.67, 4 Al 2.72, 4 Ir 2.78

Most stable: entry Q (next structure +0.220 eV/atom)

Entry P
Entry from the Alexandria database: a geometry-optimized AlReIr3 structure (PBE-GGA).

abc: 4.3728 4.3728 4.3728
angles: 90.00 90.00 90.00
Last column: nearest neighbours and their distance in Å.
Positions (direct):
Al1 0.0000 0.0000 0.0000  6 Ir 2.19
Re1 0.5000 0.5000 0.5000  12 Ir 3.09
Ir1 0.0000 0.0000 0.5000  2 Al 2.19
Ir2 0.0000 0.5000 0.0000  2 Al 2.19
Ir3 0.5000 0.0000 0.0000  2 Al 2.19

Entry Q
Entry from the Alexandria database: a geometry-optimized AlReIr3 structure (PBE-GGA).

abc: 4.7373 4.7373 4.7373
angles: 90.00 90.00 90.00
Last column: nearest neighbours and their distance in Å.
Positions (direct):
Al1 0.0000 0.0000 0.0000  12 Ir 3.35
Re1 0.5000 0.5000 0.5000  6 Ir 2.37
Ir1 0.0000 0.5000 0.5000  2 Re 2.37
Ir2 0.5000 0.0000 0.5000  2 Re 2.37
Ir3 0.5000 0.5000 0.0000  2 Re 2.37

Most stable: entry P (next structure +0.155 eV/atom)

Entry P
Entry from the Alexandria database: a geometry-optimized Al2TlReIr structure (PBE-GGA).

abc: 4.6991 4.6991 5.2261
angles: 90.00 90.00 90.00
Last column: nearest neighbours and their distance in Å.
Positions (direct):
Al1 0.0000 0.5000 0.0000  2 Ir 2.35
Al2 0.5000 0.0000 0.0000  2 Ir 2.35
Tl1 0.0000 0.0000 0.5000  2 Ir 2.61
Re1 0.5000 0.5000 0.5000  4 Tl 3.32, 8 Al 3.51
Ir1 0.0000 0.0000 0.0000  4 Al 2.35, 2 Tl 2.61

Entry Q
Entry from the Alexandria database: a geometry-optimized Al2TlReIr structure (PBE-GGA).

abc: 4.9042 4.9042 4.7594
angles: 90.00 90.00 90.00
Last column: nearest neighbours and their distance in Å.
Positions (direct):
Al1 0.0000 0.5000 0.0000  2 Re 2.45
Al2 0.5000 0.0000 0.0000  2 Re 2.45
Tl1 0.0000 0.0000 0.5000  8 Al 3.42, 4 Ir 3.47
Re1 0.5000 0.5000 0.0000  2 Ir 2.38, 4 Al 2.45
Ir1 0.5000 0.5000 0.5000  2 Re 2.38

Most stable: entry Q (next structure +0.375 eV/atom)

Entry P
Entry from the Alexandria database: a geometry-optimized Al2IrRu2 structure (PBE-GGA).

abc: 6.9291 6.9291 2.9222
angles: 90.00 90.00 90.00
Last column: nearest neighbours and their distance in Å.
Positions (direct):
Al1 0.1339 0.3661 0.0000  6 Ru 2.44-2.55, 1 Al 2.62, 2 Ir 2.70
Al2 0.3661 0.8661 0.0000  6 Ru 2.44-2.55, 1 Al 2.62, 2 Ir 2.70
Al3 0.6339 0.1339 0.0000  6 Ru 2.44-2.55, 1 Al 2.62, 2 Ir 2.70
Al4 0.8661 0.6339 0.0000  6 Ru 2.44-2.55, 1 Al 2.62, 2 Ir 2.70
Ir1 0.0000 0.0000 0.0000  4 Al 2.70, 2 Ir 2.92, 8 Ru 2.97
Ir2 0.5000 0.5000 0.0000  4 Al 2.70, 2 Ir 2.92, 8 Ru 2.97
Ru1 0.1667 0.6667 0.5000  6 Al 2.44-2.55
Ru2 0.3333 0.1667 0.5000  6 Al 2.44-2.55
Ru3 0.6667 0.8333 0.5000  6 Al 2.44-2.55
Ru4 0.8333 0.3333 0.5000  6 Al 2.44-2.55

Entry Q
Entry from the Alexandria database: a geometry-optimized Al2IrRu2 structure (PBE-GGA).

abc: 6.6499 6.6499 6.6499
angles: 149.12 149.12 44.23
Last column: nearest neighbours and their distance in Å.
Positions (direct):
Al1 0.2500 0.7500 0.5000  4 Al 2.50, 4 Ru 2.54
Al2 0.7500 0.2500 0.5000  4 Al 2.50, 4 Ru 2.54
Ir1 0.0000 0.0000 0.0000  8 Ru 2.80
Ru1 0.3978 0.3978 0.0000  1 Ru 2.52, 4 Al 2.54, 4 Ir 2.80
Ru2 0.6022 0.6022 0.0000  1 Ru 2.52, 4 Al 2.54, 4 Ir 2.80

Most stable: entry P (next structure +0.567 eV/atom)

Entry P
Entry from the Alexandria database: a geometry-optimized Al2IrRu2 structure (PBE-GGA).

abc: 7.1339 7.1339 7.1339
angles: 152.15 152.15 39.80
Last column: nearest neighbours and their distance in Å.
Positions (direct):
Al1 0.0982 0.0982 0.0000  1 Al 2.64, 4 Ru 2.66, 4 Ir 2.76
Al2 0.9018 0.9018 0.0000  1 Al 2.64, 4 Ru 2.66, 4 Ir 2.76
Ir1 0.5000 0.5000 0.0000  8 Al 2.76
Ru1 0.2500 0.7500 0.5000  4 Ru 2.43, 4 Al 2.66
Ru2 0.7500 0.2500 0.5000  4 Ru 2.43, 4 Al 2.66

Entry Q
Entry from the Alexandria database: a geometry-optimized Al2IrRu2 structure (PBE-GGA).

abc: 7.0076 7.0076 2.9609
angles: 90.00 90.00 90.00
Last column: nearest neighbours and their distance in Å.
Positions (direct):
Al1 0.1700 0.3300 0.0000  6 Ru 2.47-2.59
Al2 0.3300 0.8300 0.0000  6 Ru 2.47-2.59
Al3 0.6700 0.1700 0.0000  6 Ru 2.47-2.59
Al4 0.8300 0.6700 0.0000  6 Ru 2.47-2.59
Ir1 0.0000 0.0000 0.5000  4 Ru 2.75, 2 Ir 2.96, 8 Al 2.99
Ir2 0.5000 0.5000 0.5000  4 Ru 2.75, 2 Ir 2.96, 8 Al 2.99
Ru1 0.1300 0.6300 0.5000  6 Al 2.47-2.59, 1 Ru 2.58, 2 Ir 2.75
Ru2 0.3700 0.1300 0.5000  6 Al 2.47-2.59, 1 Ru 2.58, 2 Ir 2.75
Ru3 0.6300 0.8700 0.5000  6 Al 2.47-2.59, 1 Ru 2.58, 2 Ir 2.75
Ru4 0.8700 0.3700 0.5000  6 Al 2.47-2.59, 1 Ru 2.58, 2 Ir 2.75

Most stable: entry Q (next structure +0.349 eV/atom)

Entry P
Entry from the Alexandria database: a geometry-optimized AlIr2S structure (PBE-GGA).

abc: 6.7919 6.7919 6.7919
angles: 134.61 134.61 66.14
Last column: nearest neighbours and their distance in Å.
Positions (direct):
Al1 0.0000 0.0000 0.0000  4 Ir 2.45
Al2 0.7500 0.2500 0.5000  4 Ir 2.45
Ir1 0.1632 0.6250 0.0382  2 S 2.23, 2 Al 2.45
Ir2 0.3750 0.4132 0.5382  2 S 2.23, 2 Al 2.45
Ir3 0.5868 0.1250 0.9618  2 S 2.23, 2 Al 2.45
Ir4 0.8750 0.8368 0.4618  2 S 2.23, 2 Al 2.45
S1 0.2500 0.7500 0.5000  4 Ir 2.23
S2 0.5000 0.5000 0.0000  4 Ir 2.23

Entry Q
Entry from the Alexandria database: a geometry-optimized AlIr2S structure (PBE-GGA).

abc: 4.3231 4.3231 4.3231
angles: 60.00 60.00 60.00
Last column: nearest neighbours and their distance in Å.
Positions (direct):
Al1 0.0000 0.0000 0.0000  8 Ir 2.65
Ir1 0.2500 0.2500 0.2500  4 S 2.65, 4 Al 2.65
Ir2 0.7500 0.7500 0.7500  4 S 2.65, 4 Al 2.65
S1 0.5000 0.5000 0.5000  8 Ir 2.65

Most stable: entry P (next structure +0.060 eV/atom)

Entry P
Entry from the Alexandria database: a geometry-optimized AlSbIr3 structure (PBE-GGA).

abc: 4.5426 4.5426 4.5426
angles: 90.00 90.00 90.00
Last column: nearest neighbours and their distance in Å.
Positions (direct):
Al1 0.0000 0.0000 0.0000  6 Ir 2.27
Sb1 0.5000 0.5000 0.5000  12 Ir 3.21
Ir1 0.0000 0.0000 0.5000  2 Al 2.27
Ir2 0.0000 0.5000 0.0000  2 Al 2.27
Ir3 0.5000 0.0000 0.0000  2 Al 2.27

Entry Q
Entry from the Alexandria database: a geometry-optimized AlSbIr3 structure (PBE-GGA).

abc: 4.8187 4.8187 4.8187
angles: 90.00 90.00 90.00
Last column: nearest neighbours and their distance in Å.
Positions (direct):
Al1 0.0000 0.0000 0.0000  12 Ir 3.41
Sb1 0.5000 0.5000 0.5000  6 Ir 2.41
Ir1 0.0000 0.5000 0.5000  2 Sb 2.41
Ir2 0.5000 0.0000 0.5000  2 Sb 2.41
Ir3 0.5000 0.5000 0.0000  2 Sb 2.41

Most stable: entry P (next structure +0.718 eV/atom)

Entry P
Entry from the Alexandria database: a geometry-optimized AlSbIr2 structure (PBE-GGA).

abc: 3.0364 3.0662 6.9636
angles: 90.00 90.60 90.00
Last column: nearest neighbours and their distance in Å.
Positions (direct):
Al1 0.0000 0.0000 0.0000  8 Ir 2.62
Sb1 0.0000 0.0000 0.5000  8 Ir 2.92-2.96, 4 Sb 3.04-3.07
Ir1 0.4933 0.5000 0.7860  4 Al 2.62, 2 Sb 2.92
Ir2 0.5067 0.5000 0.2140  4 Al 2.62, 2 Sb 2.92

Entry Q
Entry from the Alexandria database: a geometry-optimized AlSbIr2 structure (PBE-GGA).

abc: 8.5630 8.5630 8.5630
angles: 20.22 20.22 20.22
Last column: nearest neighbours and their distance in Å.
Positions (direct):
Al1 0.0000 0.0000 0.0000  6 Ir 2.61
Sb1 0.5000 0.5000 0.5000  6 Ir 2.84, 6 Sb 3.01
Ir1 0.2561 0.2561 0.2561  3 Al 2.61, 3 Sb 2.84
Ir2 0.7439 0.7439 0.7439  3 Al 2.61, 3 Sb 2.84

Most stable: entry P (next structure +0.102 eV/atom)